# GGA-PBE Cs3NaCl, optimized geometry
# **Magnetization**: 0.000 μB/atom
# **Formation energy from raw total energies**: -17.403 kcal/mol of atoms
# **E**: -1.900 eV per atom
# **Relative energy among the computed polymorphs**: 0.000 eV per atom
data_Cs3NaCl
_symmetry_space_group_name_H-M 'P m -3 m'
_symmetry_Int_Tables_number 221
_symmetry_space_group_name_Hall '-P 4 2 3'
_cell_length_a 6.9878
_cell_length_b 6.9878
_cell_length_c 6.9878
_cell_angle_alpha 90.00
_cell_angle_beta 90.00
_cell_angle_gamma 90.00
loop_
_atom_site_label
_atom_site_type_symbol
_atom_site_fract_x
_atom_site_fract_y
_atom_site_fract_z
_atom_site_occupancy
Cs1 Cs 0.0000 0.0000 0.5000 1
Na1 Na 0.5000 0.5000 0.5000 1
Cl1 Cl 0.0000 0.0000 0.0000 1